A geometry-optimized BaNbInWO6 structure. Source: Alexandria via LeMat-Bulk, functional GGA+U.

Output
Calculated total energy in eV/atom: -7.302
V in Å³/f.u.: 140.5
Density in g cm⁻³: 7.4
Total magnetic moment in μB per cell: 2.0

a b c (Å): 5.8360 5.8360 5.8360
angles (deg): 60.00 60.00 60.00
Sites, in units of the cell vectors:
Ba (0.0000, 0.0000, 0.0000)
Nb (0.7500, 0.7500, 0.7500)
In (0.5000, 0.5000, 0.5000)
W (0.2500, 0.2500, 0.2500)
O (0.5027, 0.5027, 0.9973)
O (0.5027, 0.9973, 0.5027)
O (0.5027, 0.9973, 0.9973)
O (0.9973, 0.5027, 0.5027)
O (0.9973, 0.5027, 0.9973)
O (0.9973, 0.9973, 0.5027)